Entry from Alexandria via LeMat-Bulk: Ce6AuCl8 after structural relaxation (PBE-GGA).

Values from the calculation:
formation energy without anion corrections	-1.62	eV/atom
DOS at the Fermi energy	34.568	states/eV per cell
calculated total energy	-77.94	eV/cell

Cell: 7.004 7.004 10.865 Å, 71.19 71.19 60.00°
Each line ends with the local moment (μB).
Atoms (fractional coordinates):
Ce1 0.944 0.595 0.168  0.95
Ce2 0.708 0.056 0.832  0.95
Ce3 0.405 0.708 0.832  0.95
Ce4 0.595 0.292 0.168  0.95
Ce5 0.292 0.944 0.168  0.95
Ce6 0.056 0.405 0.832  0.95
Au1 0.000 0.000 0.000  0.05
Cl1 0.792 0.430 0.666  -0.01
Cl2 0.888 0.208 0.334  -0.01
Cl3 0.570 0.888 0.334  -0.01
Cl4 0.333 0.333 0.000  -0.02
Cl5 0.667 0.667 0.000  -0.02
Cl6 0.430 0.112 0.666  -0.01
Cl7 0.112 0.792 0.666  -0.01
Cl8 0.208 0.570 0.334  -0.01

***

Entry from Alexandria via LeMat-Bulk: Sr2YRu after structural relaxation (PBE-GGA).

Values from the calculation:
formation energy	648	meV/atom
DOS at the Fermi energy	4.903	states/eV per cell
calculated total energy	-16.51	eV/cell

Cell: 5.850 5.850 3.818 Å, 90.04 90.04 114.29°
Atoms (fractional coordinates):
Ru1 0.000 0.500 0.500
Sr1 0.000 0.000 0.000
Sr2 0.500 0.500 0.000
Y1 0.500 0.000 0.500

***

Entry from Alexandria via LeMat-Bulk: Tl2Zn2F after structural relaxation (PBE-GGA).

Values from the calculation:
formation energy without anion corrections	-0.45	eV/atom
DOS at the Fermi energy	2.551	states/eV per cell
calculated total energy	-11.39	eV/cell

Cell: 3.631 3.631 9.068 Å, 78.45 78.45 90.00°
Atoms (fractional coordinates):
Tl1 0.412 0.412 0.176
Tl2 0.588 0.588 0.824
Zn1 0.750 0.250 0.500
Zn2 0.250 0.750 0.500
F1 0.000 0.000 0.000

***

Entry from Alexandria via LeMat-Bulk: LaTb7Er5 after structural relaxation (PBE-GGA).

Values from the calculation:
formation energy	243	meV/atom
DOS at the Fermi energy	26.210	states/eV per cell
calculated total energy	-57.00	eV/cell

Cell: 6.643 8.715 8.715 Å, 80.29 67.60 67.60°
Atoms (fractional coordinates):
La1 0.968 0.032 0.032
Tb1 0.574 0.426 0.426
Tb2 0.265 0.735 0.735
Tb3 0.019 0.308 0.654
Tb4 0.019 0.654 0.308
Tb5 0.261 0.239 0.239
Tb6 0.522 0.809 0.147
Tb7 0.522 0.147 0.809
Er1 0.531 0.998 0.464
Er2 0.007 0.998 0.464
Er3 0.531 0.464 0.998
Er4 0.007 0.464 0.998
Er5 0.774 0.726 0.726